Computed, not measured: a relaxed structure of PrGaCo at the PBE level of DFT.

Cell lengths 7.002, 4.349, 7.547 Å; angles 90.00, 90.00, 90.00 degrees
Positions (direct):
Pr 0.025 0.250 0.191
Pr 0.475 0.750 0.691
Pr 0.525 0.250 0.309
Pr 0.975 0.750 0.809
Ga 0.167 0.250 0.576
Ga 0.333 0.750 0.076
Ga 0.667 0.250 0.924
Ga 0.833 0.750 0.424
Co 0.201 0.750 0.401
Co 0.299 0.250 0.901
Co 0.701 0.750 0.099
Co 0.799 0.250 0.599

Values from the calculation:
Raw total energy ... -5.33 eV per atom